Crystalline Pm3Nd4Y5 at its relaxed geometry, computed with PBE-GGA.

Structure (CIF):
```
data_Pm3Nd4Y5
_cell_length_a 6.287
_cell_length_b 7.251
_cell_length_c 8.881
_cell_angle_alpha 90.11
_cell_angle_beta 90.13
_cell_angle_gamma 90.04
_symmetry_space_group_name_H-M 'P 1'
_symmetry_Int_Tables_number 1
loop_
_symmetry_equiv_pos_as_xyz
'x,y,z'
loop_
_atom_site_label
_atom_site_fract_x
_atom_site_fract_y
_atom_site_fract_z
Pm1 0.000 0.000 0.000
Pm2 0.167 0.751 0.669
Pm3 0.833 0.249 0.331
Nd1 0.168 0.250 0.669
Nd2 0.331 0.500 0.333
Nd3 0.669 0.500 0.667
Nd4 0.832 0.750 0.331
Y1 0.000 0.500 0.000
Y2 0.333 0.000 0.331
Y3 0.500 0.249 0.000
Y4 0.500 0.751 0.000
Y5 0.667 0.000 0.669
```

calculated formation energy = 0.01 eV per atom
space-group type = No. 2
total energy = -5.456 eV/atom
total moment = 0.0 μB per cell